# 1
A relaxed BaCd6Ag4 crystal. Source: Alexandria via LeMat-Bulk, functional PBE.

Cell lengths 8.0978, 8.0978, 4.6209 Å; angles 90.00, 90.00, 120.00 degrees
Last column: nearest neighbours and their distance in Å.
Space group P-6m2 (No. 187)
Unique sites:
Ba  0.0000  0.0000  0.0000 [1 per cell]  12 Cd 3.67-4.08, 6 Ag 3.71
Cd  0.2036  0.4073  0.5000 [3 per cell]  4 Ag 2.88-2.94, 2 Cd 3.15
Cd  0.5354  0.0708  0.0000 [3 per cell]  5 Ag 2.83-2.93
Ag  0.3333  0.6667  0.0000 [1 per cell]  9 Cd 2.83-2.94
Ag  0.4147  0.2074  0.5000 [3 per cell]  6 Cd 2.88-2.93, 2 Ag 3.06

- E_form: -139 meV/atom
- Final energy: -1.85 eV/atom
- Magnetic moment: 0.00 μB per cell

# 2
A relaxed BaCdAg3 crystal. Source: Alexandria via LeMat-Bulk, functional PBE.

Cell lengths 7.0487, 7.0487, 6.1829 Å; angles 90.00, 90.00, 120.00 degrees
Last column: nearest neighbours and their distance in Å.
Space group P6_3/mmc (No. 194)
Unique sites:
Ba  0.3333  0.6667  0.2500 [2 per cell]  12 Ag 3.50-3.55
Cd  0.0000  0.0000  0.0000 [2 per cell]  6 Ag 2.88, 2 Cd 3.09
Ag  0.1995  0.3989  0.7500 [6 per cell]  2 Ag 2.83, 2 Cd 2.88

- E_form: -154 meV/atom
- Distance to the lowest polymorph of the same formula: 0 meV per atom
- Final energy: -2.43 eV/atom
- Magnetic moment: 0.00 μB per cell

# 3
A relaxed Ba4Cd3Ag crystal. Source: Alexandria via LeMat-Bulk, functional PBE.

Cell lengths 4.7170, 5.3025, 12.7503 Å; angles 90.00, 90.00, 90.00 degrees
Last column: nearest neighbours and their distance in Å.
Space group Pmm2 (No. 25)
Unique sites:
Ba  0.0000  0.0000  0.0000 [1 per cell]  2 Ag 3.47, 5 Cd 3.66-3.80
Ba  0.0000  0.5000  0.2753 [1 per cell]  3 Cd 3.52-3.70, 4 Ag 3.68
Ba  0.5000  0.0000  0.4877 [1 per cell]  6 Cd 3.61-3.68, 1 Ag 3.67
Ba  0.5000  0.5000  0.7782 [1 per cell]  7 Cd 3.60-3.73
Cd  0.0000  0.0000  0.7022 [1 per cell]  2 Cd 3.17
Cd  0.0000  0.5000  0.5652 [1 per cell]  2 Cd 3.17
Cd  0.5000  0.5000  0.0705 [1 per cell]  2 Ag 3.12
Ag  0.5000  0.0000  0.1998 [1 per cell]  2 Cd 3.12, 2 Ba 3.47

- E_form: -285 meV/atom
- Distance to the lowest polymorph of the same formula: 9 meV per atom
- Final energy: -1.95 eV/atom
- Magnetic moment: 0.00 μB per cell

# 4
A relaxed Ba2CdAg crystal. Source: Alexandria via LeMat-Bulk, functional PBE.

Cell lengths 8.0098, 8.0098, 8.0098 Å; angles 90.00, 90.00, 90.00 degrees
Last column: nearest neighbours and their distance in Å.
Space group F-43m (No. 216)
Unique sites:
Ba  0.0000  0.0000  0.0000 [4 per cell]  4 Ag 3.47, 4 Ba 3.47
Ba  0.2500  0.2500  0.2500 [4 per cell]  4 Cd 3.47, 4 Ba 3.47
Cd  0.0000  0.0000  0.5000 [4 per cell]  4 Ba 3.47, 4 Ag 3.47
Ag  0.2500  0.2500  0.7500 [4 per cell]  4 Cd 3.47, 4 Ba 3.47

- E_form: -101 meV/atom
- Final energy: -2.00 eV/atom
- Magnetic moment: 0.00 μB per cell

# 5
A relaxed Ba3Cd4Ag4 crystal. Source: Alexandria via LeMat-Bulk, functional PBE.

Cell lengths 4.6243, 4.8698, 15.1959 Å; angles 99.12, 98.69, 90.09 degrees
Last column: nearest neighbours and their distance in Å.
Space group P-1 (No. 2)
Unique sites:
Ba  0.0000  0.0000  0.0000 [1 per cell]  8 Ag 3.64-3.65, 4 Cd 3.70-3.71
Ba  0.1484  0.6493  0.2968 [2 per cell]  6 Ag 3.61-3.77, 8 Cd 3.68-3.90
Cd  0.2501  0.2507  0.5025 [2 per cell]  4 Ag 2.88-2.94
Cd  0.4024  0.9013  0.8048 [2 per cell]  3 Ag 2.84-2.85
Ag  0.3075  0.8058  0.6129 [2 per cell]  5 Cd 2.84-2.94
Ag  0.4519  0.4512  0.9044 [2 per cell]  1 Ag 2.84, 2 Cd 2.84-2.85

- E_form: -271 meV/atom
- Final energy: -2.17 eV/atom
- Magnetic moment: 0.00 μB per cell

# 6
A relaxed Ba4Cd3Ag crystal. Source: Alexandria via LeMat-Bulk, functional PBE.

Cell lengths 4.2177, 4.2177, 16.9715 Å; angles 90.00, 90.00, 90.00 degrees
Last column: nearest neighbours and their distance in Å.
Space group P4/mmm (No. 123)
Unique sites:
Ba  0.0000  0.0000  0.1196 [2 per cell]  4 Ag 3.61, 4 Cd 3.68
Ba  0.0000  0.0000  0.3741 [2 per cell]  8 Cd 3.67-3.69
Cd  0.5000  0.5000  0.2466 [2 per cell]  8 Ba 3.68-3.69
Cd  0.5000  0.5000  0.5000 [1 per cell]  8 Ba 3.67
Ag  0.5000  0.5000  0.0000 [1 per cell]  8 Ba 3.61

- E_form: -295 meV/atom
- Distance to the lowest polymorph of the same formula: 0 meV per atom
- Final energy: -1.96 eV/atom
- Magnetic moment: 0.00 μB per cell

# 7
A relaxed Ba3Cd8Ag crystal. Source: Alexandria via LeMat-Bulk, functional PBE.

Cell lengths 6.3039, 6.3039, 30.5685 Å; angles 90.00, 90.00, 120.00 degrees
Last column: nearest neighbours and their distance in Å.
Space group R3m (No. 160, hexagonal axes)
Unique sites:
Ba  0.0000  0.0000  0.0000 [3 per cell]  12 Cd 3.54-3.71, 3 Ag 3.70, 1 Ba 3.91
Ba  0.0000  0.0000  0.1278 [3 per cell]  12 Cd 3.70-3.73, 4 Ba 3.91-3.96
Ba  0.0000  0.0000  0.5123 [3 per cell]  12 Cd 3.57-3.97, 3 Ba 3.96
Cd  0.0000  0.0000  0.3145 [3 per cell]  6 Cd 3.06-3.12
Cd  0.0000  0.0000  0.8164 [3 per cell]  6 Cd 3.16-3.19
Cd  0.9995  0.4998  0.5675 [9 per cell]  6 Cd 3.06-3.16
Cd  0.1682  0.3363  0.3970 [9 per cell]  6 Cd 3.12-3.19, 1 Ag 3.19
Ag  0.0000  0.0000  0.6443 [3 per cell]  3 Cd 3.19

- E_form: -202 meV/atom
- Final energy: -1.53 eV/atom
- Magnetic moment: 0.00 μB per cell

# 8
A relaxed BaCd2Ag crystal. Source: Alexandria via LeMat-Bulk, functional PBE.

Cell lengths 7.7035, 7.7035, 7.7035 Å; angles 90.00, 90.00, 90.00 degrees
Last column: nearest neighbours and their distance in Å.
Space group Fm-3m (No. 225)
Unique sites:
Ba  0.0000  0.0000  0.0000 [4 per cell]  8 Cd 3.34
Cd  0.2500  0.2500  0.2500 [8 per cell]  4 Ag 3.34, 4 Ba 3.34
Ag  0.0000  0.0000  0.5000 [4 per cell]  8 Cd 3.34

- E_form: -122 meV/atom
- Final energy: -1.77 eV/atom
- Magnetic moment: 0.00 μB per cell

# 9
A relaxed Ba2Cd3Ag4 crystal. Source: Alexandria via LeMat-Bulk, functional PBE.

Cell lengths 5.7946, 10.8956, 15.2792 Å; angles 90.00, 90.00, 90.00 degrees
Last column: nearest neighbours and their distance in Å.
Space group Fmmm (No. 69)
Unique sites:
Ba  0.0000  0.0000  0.1468 [8 per cell]  8 Ag 3.38-3.58, 2 Cd 3.66
Cd  0.0000  0.0000  0.5000 [4 per cell]  4 Cd 3.09, 4 Ag 3.29
Cd  0.2500  0.2500  0.0000 [8 per cell]  4 Cd 2.90-3.09, 4 Ag 3.00
Ag  0.0000  0.1913  0.3333 [16 per cell]  3 Ag 2.85-3.17, 2 Cd 3.00

- E_form: -183 meV/atom
- Final energy: -2.18 eV/atom
- Magnetic moment: 0.00 μB per cell

# 10
A relaxed BaCd2Ag crystal. Source: Alexandria via LeMat-Bulk, functional PBE.

Cell lengths 5.4851, 5.4851, 7.6125 Å; angles 90.00, 90.00, 90.00 degrees
Last column: nearest neighbours and their distance in Å.
Space group I-4m2 (No. 119)
Unique sites:
Ba  0.0000  0.0000  0.0000 [2 per cell]  4 Cd 3.34, 4 Ag 3.34
Cd  0.0000  0.0000  0.5000 [2 per cell]  4 Cd 3.34, 4 Ag 3.34
Cd  0.0000  0.5000  0.7500 [2 per cell]  4 Ba 3.34, 4 Cd 3.34
Ag  0.0000  0.5000  0.2500 [2 per cell]  4 Ba 3.34, 4 Cd 3.34

- E_form: -150 meV/atom
- Final energy: -1.80 eV/atom
- Magnetic moment: 0.00 μB per cell

# 11
A relaxed Ba4Cd2Ag5 crystal. Source: Alexandria via LeMat-Bulk, functional PBE.

Cell lengths 8.5052, 4.4424, 9.7330 Å; angles 90.00, 94.06, 90.00 degrees
Last column: nearest neighbours and their distance in Å.
Space group P2/m (No. 10)
Unique sites:
Ba  0.2195  0.0000  0.3493 [2 per cell]  6 Ag 3.51-3.68, 4 Cd 3.72-3.83
Ba  0.2634  0.0000  0.8686 [2 per cell]  8 Ag 3.40-3.65, 2 Cd 3.59
Cd  0.4282  0.5000  0.6267 [2 per cell]  2 Ag 2.83-2.84, 1 Cd 2.83
Ag  0.0000  0.5000  0.0000 [1 per cell]  4 Ba 3.46, 4 Ag 3.47-3.81
Ag  0.0958  0.5000  0.6232 [2 per cell]  1 Ag 2.80, 1 Cd 2.83
Ag  0.3957  0.5000  0.1146 [2 per cell]  1 Cd 2.84, 1 Ag 2.95

- E_form: -234 meV/atom
- Final energy: -2.40 eV/atom
- Magnetic moment: 0.00 μB per cell

# 12
A relaxed BaCd9Ag2 crystal. Source: Alexandria via LeMat-Bulk, functional PBE.

Cell lengths 12.0657, 12.0657, 7.7696 Å; angles 90.00, 90.00, 90.00 degrees
Last column: nearest neighbours and their distance in Å.
Space group I4_1/amd (No. 141, origin choice 2)
Unique sites:
Ba  0.0000  0.2500  0.3750 [4 per cell]  18 Cd 3.72-3.89
Cd  0.0000  0.2500  0.8750 [4 per cell]  4 Ag 3.17, 8 Cd 3.23
Cd  0.1213  0.0468  0.6814 [32 per cell]  6 Cd 2.93-3.23, 2 Ag 2.93-2.95
Ag  0.0000  0.0000  0.0000 [8 per cell]  10 Cd 2.93-3.17

- E_form: -188 meV/atom
- Distance to the lowest polymorph of the same formula: 0 meV per atom
- Final energy: -1.51 eV/atom
- Magnetic moment: 0.00 μB per cell

# 13
A relaxed Ba8CdAg2 crystal. Source: Alexandria via LeMat-Bulk, functional PBE.

Cell lengths 10.4551, 15.3064, 7.1233 Å; angles 90.00, 106.13, 90.00 degrees
Last column: nearest neighbours and their distance in Å.
Space group Cm (No. 8)
Unique sites:
Ba  0.0000  0.0000  0.0000 [2 per cell]  2 Ag 3.63, 1 Cd 3.70
Ba  0.0693  0.3662  0.7974 [4 per cell]  2 Ag 3.43-3.49, 1 Cd 3.72
Ba  0.1653  0.1308  0.5977 [4 per cell]  2 Ag 3.45-3.48, 1 Cd 3.77
Ba  0.2277  0.5000  0.3826 [2 per cell]  2 Ag 3.64, 1 Cd 3.96
Ba  0.3703  0.2275  0.1978 [4 per cell]  1 Cd 3.67, 2 Ag 3.77-3.83
Cd  0.3596  0.0000  0.0315 [2 per cell]  8 Ba 3.67-3.96
Ag  0.3662  0.3140  0.6911 [4 per cell]  8 Ba 3.43-3.83

- E_form: -88 meV/atom
- Final energy: -2.09 eV/atom
- Magnetic moment: 0.00 μB per cell

# 14
A relaxed Ba3Cd2Ag crystal. Source: Alexandria via LeMat-Bulk, functional PBE.

Cell lengths 4.1798, 4.1798, 12.8579 Å; angles 90.00, 90.00, 90.00 degrees
Last column: nearest neighbours and their distance in Å.
Space group P4/mmm (No. 123)
Unique sites:
Ba  0.0000  0.0000  0.0000 [1 per cell]  8 Cd 3.66
Ba  0.0000  0.0000  0.3404 [2 per cell]  4 Ag 3.60, 4 Cd 3.69
Cd  0.5000  0.5000  0.1683 [2 per cell]  8 Ba 3.66-3.69
Ag  0.5000  0.5000  0.5000 [1 per cell]  8 Ba 3.60

- E_form: -289 meV/atom
- Distance to the lowest polymorph of the same formula: 0 meV per atom
- Final energy: -2.03 eV/atom
- Magnetic moment: 0.00 μB per cell

# 15
A relaxed Ba2Cd7Ag2 crystal. Source: Alexandria via LeMat-Bulk, functional PBE.

Cell lengths 8.4633, 13.1685, 5.3963 Å; angles 90.00, 90.00, 90.00 degrees
Last column: nearest neighbours and their distance in Å.
Space group Cmmm (No. 65)
Unique sites:
Ba  0.0000  0.2332  0.0000 [4 per cell]  2 Ag 3.45, 10 Cd 3.73-3.76
Cd  0.0000  0.0000  0.5000 [2 per cell]  4 Cd 2.91, 4 Ag 3.13
Cd  0.0000  0.5000  0.2468 [4 per cell]  2 Cd 2.66-2.73, 2 Ag 2.97
Cd  0.2333  0.3607  0.5000 [8 per cell]  4 Cd 2.91-3.02
Ag  0.1867  0.0000  0.0000 [4 per cell]  4 Cd 2.97-3.13, 1 Ag 3.16

- E_form: -184 meV/atom
- Final energy: -1.63 eV/atom
- Magnetic moment: 0.00 μB per cell

# 16
A relaxed BaCdAg3 crystal. Source: Alexandria via LeMat-Bulk, functional PBE.

Cell lengths 5.3191, 5.3191, 5.3191 Å; angles 90.00, 90.00, 90.00 degrees
Last column: nearest neighbours and their distance in Å.
Space group Pm-3m (No. 221)
Unique sites:
Ba  0.0000  0.0000  0.0000 [1 per cell]  12 Ag 3.76
Cd  0.5000  0.5000  0.5000 [1 per cell]  6 Ag 2.66
Ag  0.0000  0.5000  0.5000 [3 per cell]  2 Cd 2.66

- E_form: 14 meV/atom
- Distance to the lowest polymorph of the same formula: 167 meV per atom
- Final energy: -2.26 eV/atom
- Magnetic moment: 0.00 μB per cell

# 17
A relaxed Ba2CdAg2 crystal. Source: Alexandria via LeMat-Bulk, functional PBE.

Cell lengths 8.5917, 8.5917, 4.5853 Å; angles 90.00, 90.00, 90.00 degrees
Last column: nearest neighbours and their distance in Å.
Space group P4/mbm (No. 127)
Unique sites:
Ba  0.1808  0.3192  0.0000 [4 per cell]  6 Ag 3.35-3.48
Cd  0.0000  0.0000  0.5000 [2 per cell]  4 Ag 3.44
Ag  0.1179  0.6179  0.5000 [4 per cell]  1 Ag 2.86

- E_form: -261 meV/atom
- Distance to the lowest polymorph of the same formula: 25 meV per atom
- Final energy: -2.35 eV/atom
- Magnetic moment: 0.00 μB per cell

# 18
A relaxed Ba2Cd5Ag crystal. Source: Alexandria via LeMat-Bulk, functional PBE.

Cell lengths 5.0833, 18.3278, 10.4222 Å; angles 90.00, 90.00, 90.00 degrees
Last column: nearest neighbours and their distance in Å.
Space group Cmcm (No. 63)
Unique sites:
Ba  0.0000  0.0000  0.0000 [4 per cell]  10 Cd 3.62-4.03, 4 Ag 3.80
Ba  0.0000  0.1984  0.2500 [4 per cell]  13 Cd 3.59-3.95, 2 Ag 3.59
Cd  0.0000  0.1876  0.6099 [8 per cell]  4 Cd 2.92-3.09
Cd  0.0000  0.3487  0.5216 [8 per cell]  1 Ag 2.91, 4 Cd 2.96-3.09
Cd  0.0000  0.4050  0.2500 [4 per cell]  1 Ag 2.84, 2 Cd 3.01
Ag  0.0000  0.4399  0.7500 [4 per cell]  3 Cd 2.84-2.91

- E_form: -272 meV/atom
- Final energy: -1.68 eV/atom
- Magnetic moment: 0.00 μB per cell

# 19
A relaxed Ba2CdAg crystal. Source: Alexandria via LeMat-Bulk, functional PBE.

Cell lengths 9.1602, 9.1602, 8.1369 Å; angles 90.00, 90.00, 90.00 degrees
Last column: nearest neighbours and their distance in Å.
Space group I-42d (No. 122)
Unique sites:
Ba  0.2308  0.2500  0.1250 [8 per cell]  2 Ag 3.28, 2 Cd 3.52
Cd  0.0000  0.0000  0.5000 [4 per cell]  4 Ba 3.52
Ag  0.0000  0.0000  0.0000 [4 per cell]  4 Ba 3.28

- E_form: -22 meV/atom
- Final energy: -1.93 eV/atom
- Magnetic moment: 0.00 μB per cell

# 20
A relaxed BaCd2Ag crystal. Source: Alexandria via LeMat-Bulk, functional PBE.

Cell lengths 5.1404, 5.1404, 8.6768 Å; angles 90.00, 90.00, 90.00 degrees
Last column: nearest neighbours and their distance in Å.
Space group I4/mmm (No. 139)
Unique sites:
Ba  0.0000  0.0000  0.0000 [2 per cell]  8 Cd 3.36, 4 Ag 3.63
Cd  0.0000  0.5000  0.2500 [4 per cell]  4 Ba 3.36, 4 Ag 3.36, 4 Cd 3.63
Ag  0.0000  0.0000  0.5000 [2 per cell]  8 Cd 3.36, 4 Ba 3.63

- E_form: -122 meV/atom
- Final energy: -1.77 eV/atom
- Magnetic moment: 0.00 μB per cell

# 21
A relaxed BaCdAg2 crystal. Source: Alexandria via LeMat-Bulk, functional PBE.

Cell lengths 4.4091, 5.0884, 5.5380 Å; angles 90.00, 90.00, 90.00 degrees
Last column: nearest neighbours and their distance in Å.
Space group Pmm2 (No. 25)
Unique sites:
Ba  0.0000  0.0000  0.0000 [1 per cell]  8 Ag 3.47-3.61, 4 Cd 3.73
Cd  0.5000  0.5000  0.7112 [1 per cell]  4 Ag 2.75-2.84
Ag  0.5000  0.0000  0.4828 [1 per cell]  2 Cd 2.84, 2 Ag 2.95
Ag  0.5000  0.5000  0.2148 [1 per cell]  2 Cd 2.75-2.79, 2 Ag 2.95

- E_form: -147 meV/atom
- Final energy: -2.28 eV/atom
- Magnetic moment: 0.00 μB per cell

# 22
A relaxed BaCd4Ag4 crystal. Source: Alexandria via LeMat-Bulk, functional PBE.

Cell lengths 9.6895, 9.6895, 5.0153 Å; angles 90.00, 90.00, 90.00 degrees
Last column: nearest neighbours and their distance in Å.
Space group I4/m (No. 87)
Unique sites:
Ba  0.0000  0.0000  0.0000 [2 per cell]  12 Ag 3.74-4.12, 4 Cd 3.98
Cd  0.1036  0.6060  0.5000 [8 per cell]  4 Ag 2.75-2.92, 1 Cd 2.87
Ag  0.1776  0.2870  0.5000 [8 per cell]  4 Cd 2.75-2.92, 2 Ag 2.96

- E_form: -82 meV/atom
- Distance to the lowest polymorph of the same formula: 47 meV per atom
- Final energy: -1.97 eV/atom
- Magnetic moment: 0.00 μB per cell